Below is crystalline Rb2PuPa2Se6 at its relaxed geometry, with properties calculated at the PBE level.

The space group is C2/m (No. 12) and the conventional cell measures 7.279, 12.633 and 8.568 Å, with angles of 90.00, 106.06 and 90.00 degrees. The inequivalent atoms are Rb at (0.000, 0.165, 0.000), Pu at (0.000, 0.000, 0.500), Pa at (0.000, 0.334, 0.500), Se at (0.222, 0.500, 0.695) and Se at (0.234, 0.171, 0.693).

Its uncorrected formation energy is -1.418 eV per atom. The calculation puts the density of states at the Fermi level at 1.72 states/eV/atom. The crystal system is monoclinic.



Below is crystalline Ba2Sr3Pt2 at its relaxed geometry, with properties calculated at the PBE level.

The space group is C2/m (No. 12) and the conventional cell measures 14.020, 4.332 and 10.128 Å, with angles of 90.00, 117.05 and 90.00 degrees. The inequivalent atoms are Ba at (0.174, 0.000, 0.295), Sr at (0.000, 0.500, 0.500), Sr at (0.127, 0.500, 0.924) and Pt at (0.174, 0.000, 0.742).

The calculation puts the density of states at the Fermi level at 0.56 states/eV/atom. Its total energy is -24.9 eV per formula unit. The crystal system is monoclinic.



Below is crystalline ZnAsPdBr2 at its relaxed geometry, with properties calculated at the PBE level.

The space group is P4/mmm (No. 123) and the conventional cell measures 5.112, 5.112 and 4.920 Å, with angles of 90.00, 90.00 and 90.00 degrees. The inequivalent atoms are Zn at (0.000, 0.000, 0.000), As at (0.000, 0.000, 0.500), Pd at (0.500, 0.500, 0.500) and Br at (0.000, 0.500, 0.000).

Its uncorrected formation energy is 0.494 eV per atom. The calculation puts the density of states at the Fermi level at 0.69 states/eV/atom. The crystal system is tetragonal.



Below is crystalline Pm2Cd3 at its relaxed geometry, with properties calculated at the PBE level.

The space group is Cmcm (No. 63) and the conventional cell measures 3.501, 30.206 and 5.035 Å, with angles of 90.00, 90.00 and 90.00 degrees. The inequivalent atoms are Pm at (0.000, 0.074, 0.250), Pm at (0.000, 0.214, 0.750), Cd at (0.000, 0.327, 0.750), Cd at (0.000, 0.380, 0.250) and Cd at (0.000, 0.477, 0.250).

The calculation puts the density of states at the Fermi level at 0.87 states/eV/atom. Its total energy is -13.8 eV per formula unit. The crystal system is orthorhombic.



Below is crystalline Pu3NbPd12 at its relaxed geometry, with properties calculated at the PBE level.

The space group is P4/mmm (No. 123) and the conventional cell measures 4.103, 4.103 and 16.511 Å, with angles of 90.00, 90.00 and 90.00 degrees. The inequivalent atoms are Pu at (0.000, 0.000, 0.000), Pu at (0.000, 0.000, 0.253), Nb at (0.000, 0.000, 0.500), Pd at (0.000, 0.500, 0.128), Pd at (0.000, 0.500, 0.387), Pd at (0.500, 0.500, 0.000), Pd at (0.500, 0.500, 0.259) and Pd at (0.500, 0.500, 0.500).

The calculation puts the density of states at the Fermi level at 3.20 states/eV/atom. Its total energy is -123.5 eV per formula unit. The crystal system is tetragonal.



Below is crystalline TaAuCF2 at its relaxed geometry, with properties calculated at the PBE level.

The space group is P4/mmm (No. 123) and the conventional cell measures 4.176, 4.176 and 3.997 Å, with angles of 90.00, 90.00 and 90.00 degrees. The inequivalent atoms are Ta at (0.000, 0.000, 0.000), Au at (0.500, 0.500, 0.000), C at (0.500, 0.500, 0.500) and F at (0.000, 0.500, 0.500).

Its uncorrected formation energy is 0.783 eV per atom. The calculation puts the density of states at the Fermi level at 0.71 states/eV/atom. The crystal system is tetragonal.



Number 1: mass density 5925 kg/m³. Number 2: mass density 5625 kg/m³. Number 3: mass density 5250 kg/m³. Number 4: mass density 7825 kg/m³. Number 5: mass density 12558 kg/m³. Number 6: mass density 10196 kg/m³.